No. 1
Below is a relaxed Sr2PrTmSe4 crystal, with properties calculated at the PBE level.

```
data_Sr2PrTmSe4
_cell_length_a 7.3695
_cell_length_b 4.2401
_cell_length_c 7.5022
_cell_angle_alpha 90.00
_cell_angle_beta 108.96
_cell_angle_gamma 90.00
_space_group_name_H-M_alt 'P 1 2/m 1'
_space_group_IT_number 10
_space_group_name_Hall '-P 2y'
loop_
_atom_site_label
_atom_site_type_symbol
_atom_site_fract_x
_atom_site_fract_y
_atom_site_fract_z
_atom_site_occupancy
Sr1 Sr 0.0000 0.0000 0.0000 1
Sr2 Sr 0.5000 0.5000 0.0000 1
Pr1 Pr 0.0000 0.5000 0.5000 1
Tm1 Tm 0.5000 0.0000 0.5000 1
Se1 Se 0.2573 0.0000 0.7378 1
Se2 Se 0.2670 0.5000 0.2697 1
```

## Properties
E_form (uncorrected) ... -43.2 kcal/mol of atoms
Uncorrected energy ... -5.193 eV per atom
Crystal system ... monoclinic
V ... 222 Å³/f.u.
N(E_F) ... 3.533 states/eV per cell



No. 2
Below is a relaxed ScRe2Tc2 crystal, with properties calculated at the PBE level.

```
data_ScRe2Tc2
_cell_length_a 7.6525
_cell_length_b 7.6525
_cell_length_c 2.8065
_cell_angle_alpha 90.00
_cell_angle_beta 90.00
_cell_angle_gamma 90.00
_space_group_name_H-M_alt 'P 4/m b m'
_space_group_IT_number 127
_space_group_name_Hall '-P 4 2ab'
loop_
_atom_site_label
_atom_site_type_symbol
_atom_site_fract_x
_atom_site_fract_y
_atom_site_fract_z
_atom_site_occupancy
Sc1 Sc 0.0000 0.0000 0.0000 1
Re1 Re 0.1648 0.3352 0.5000 1
Tc1 Tc 0.1295 0.6295 0.0000 1
```

## Properties
Uncorrected energy ... -10.310 eV per atom
Crystal system ... tetragonal
V ... 82 Å³/f.u.
N(E_F) ... 12.146 states/eV per cell
E_form ... 82 meV/atom